No. 1
Compound: Tl2AsPd
Source: Alexandria via LeMat-Bulk
Functional: PBE
Structure: relaxed

a b c (Å): 7.8747 7.8747 6.1018
angles (deg): 90.00 90.00 90.00
Fractional coordinates of all 16 atoms:
Tl1 0.2403 0.2500 0.1250
Tl2 0.2500 0.7403 0.3750
Tl3 0.2500 0.7597 0.8750
Tl4 0.2597 0.2500 0.6250
Tl5 0.7403 0.7500 0.6250
Tl6 0.7500 0.2403 0.8750
Tl7 0.7500 0.2597 0.3750
Tl8 0.7597 0.7500 0.1250
As1 0.0000 0.0000 0.5000
As2 0.0000 0.5000 0.7500
As3 0.5000 0.0000 0.2500
As4 0.5000 0.5000 0.0000
Pd1 0.0000 0.0000 0.0000
Pd2 0.0000 0.5000 0.2500
Pd3 0.5000 0.0000 0.7500
Pd4 0.5000 0.5000 0.5000

Summary:
VASP energy = -55.27 eV for the cell shown
magnetization = 0.00 μB/cell
symmetry = I-42d (122)
energy above the most stable polymorph in this dataset = 0.362 eV/atom
D(E_F) = 0.654 states/eV per atom



No. 2
Compound: SiTcB3
Source: Alexandria via LeMat-Bulk
Functional: PBE
Structure: relaxed

a b c (Å): 4.1052 4.1052 4.1052
angles (deg): 90.00 90.00 90.00
Fractional coordinates of all 5 atoms:
Si1 0.0000 0.0000 0.0000
Tc1 0.5000 0.5000 0.5000
B1 0.0000 0.5000 0.5000
B2 0.5000 0.0000 0.5000
B3 0.5000 0.5000 0.0000

Summary:
VASP energy = -29.26 eV for the cell shown
energy relative to the elements, uncorrected = 1313 meV/atom
magnetization = 0.00 μB/cell
symmetry = Pm-3m (221)
energy above the most stable polymorph in this dataset = 0.000 eV/atom
D(E_F) = 0.119 states/eV per atom



Q: What is the VASP energy in the first record?
A: -55.27 eV for the cell shown